Material: KMoO3
Method: DFT, PBE+U
State: relaxed

Cell lengths 6.7451, 6.7451, 6.7451 Å; angles 48.51, 48.51, 48.51 degrees
Last column: nearest neighbours and their distance in Å.
Positions (direct):
Mo (0.3354, 0.3354, 0.3354)  6 O 2.00-2.01
Mo (0.6646, 0.6646, 0.6646)  6 O 2.00-2.01
K (0.1306, 0.1306, 0.1306)  9 O 2.88-3.03
K (0.8694, 0.8694, 0.8694)  9 O 2.88-3.03
O (0.5607, 0.0640, 0.5784)  2 Mo 2.00-2.01
O (0.0640, 0.5784, 0.5607)  2 Mo 2.00-2.01
O (0.4216, 0.4393, 0.9360)  2 Mo 2.00-2.01
O (0.9360, 0.4216, 0.4393)  2 Mo 2.00-2.01
O (0.4393, 0.9360, 0.4216)  2 Mo 2.00-2.01
O (0.5784, 0.5607, 0.0640)  2 Mo 2.00-2.01

Values from the calculation:
The value obtained for the final energy is -63.8 eV/cell. As for the space group: R-3. The density of states at the Fermi level is 0.0000 states/eV per atom. The theoretical density comes out at 3.8 g cm⁻³.